Entry 1:
Here is a geometry-optimized CsRu3I structure from the Alexandria database. Energies are from GGA-PBE.

Unit cell a=5.126 b=5.126 c=5.126 alpha=90.00 beta=90.00 gamma=90.00
Fractional positions:
Cs: 0.000 0.000 0.000
Ru: 0.000 0.000 0.500
Ru: 0.000 0.500 0.000
Ru: 0.500 0.000 0.000
I: 0.500 0.500 0.500

Total DFT energy (no corrections) (eV per atom): -3.294
Formation energy (no corrections) (meV/atom): 2752.6

Entry 2:
Here is a geometry-optimized Cs2Ru2I structure from the Alexandria database. Energies are from GGA-PBE.

Unit cell a=10.430 b=10.430 c=3.465 alpha=90.00 beta=90.00 gamma=90.00
Fractional positions:
Cs: 0.208 0.292 0.000
Cs: 0.292 0.792 0.000
Cs: 0.708 0.208 0.000
Cs: 0.792 0.708 0.000
Ru: 0.073 0.573 0.500
Ru: 0.427 0.073 0.500
Ru: 0.573 0.927 0.500
Ru: 0.927 0.427 0.500
I: 0.000 0.000 0.500
I: 0.500 0.500 0.500

Total DFT energy (no corrections) (eV per atom): -3.459
Formation energy (no corrections) (meV/atom): 903.1
Distance to the lowest polymorph of the same formula (meV per atom): 155.3

Entry 3:
Here is a geometry-optimized Cs2RuI5 structure from the Alexandria database. Energies are from GGA-PBE.

Unit cell a=8.062 b=8.062 c=8.062 alpha=115.77 beta=115.77 gamma=97.49
Fractional positions:
Cs: 0.000 0.500 0.500
Cs: 0.500 0.000 0.500
Ru: 0.281 0.281 0.000
I: 0.030 0.030 0.558
I: 0.030 0.472 0.000
I: 0.472 0.030 0.000
I: 0.472 0.472 0.442
I: 0.522 0.522 0.000

Total DFT energy (no corrections) (eV per atom): -3.068
Formation energy (no corrections) (meV/atom): -726.6

Entry 4:
Here is a geometry-optimized CsSb2RuI structure from the Alexandria database. Energies are from GGA-PBE.

Unit cell a=6.384 b=6.384 c=6.730 alpha=90.00 beta=90.00 gamma=90.00
Fractional positions:
Cs: 0.000 0.000 0.000
Sb: 0.000 0.500 0.000
Sb: 0.500 0.000 0.000
Ru: 0.500 0.500 0.500
I: 0.000 0.000 0.500

Total DFT energy (no corrections) (eV per atom): -2.002
Formation energy (no corrections) (meV/atom): 1982.4
Distance to the lowest polymorph of the same formula (meV per atom): 2039.1

Entry 5:
Here is a geometry-optimized CsSbRuI2 structure from the Alexandria database. Energies are from GGA-PBE.

Unit cell a=7.068 b=7.068 c=6.553 alpha=90.00 beta=90.00 gamma=90.00
Fractional positions:
Cs: 0.000 0.000 0.000
Sb: 0.000 0.000 0.500
Ru: 0.500 0.500 0.500
I: 0.000 0.500 0.000
I: 0.500 0.000 0.000

Total DFT energy (no corrections) (eV per atom): -2.061
Formation energy (no corrections) (meV/atom): 1409.1
Distance to the lowest polymorph of the same formula (meV per atom): 1615.1

Entry 6:
Here is a geometry-optimized CsSb2RuI structure from the Alexandria database. Energies are from GGA-PBE.

Unit cell a=5.155 b=5.155 c=6.377 alpha=90.00 beta=90.00 gamma=90.00
Fractional positions:
Cs: 0.000 0.000 0.000
Sb: 0.000 0.500 0.500
Sb: 0.500 0.000 0.500
Ru: 0.500 0.500 0.500
I: 0.500 0.500 0.000

Total DFT energy (no corrections) (eV per atom): -4.042
Formation energy (no corrections) (meV/atom): -56.6
Distance to the lowest polymorph of the same formula (meV per atom): 0.0

Entry 7:
Here is a geometry-optimized CsSbRuI2 structure from the Alexandria database. Energies are from GGA-PBE.

Unit cell a=5.889 b=5.889 c=5.026 alpha=90.00 beta=90.00 gamma=90.00
Fractional positions:
Cs: 0.000 0.000 0.000
Sb: 0.500 0.500 0.000
Ru: 0.500 0.500 0.500
I: 0.000 0.500 0.500
I: 0.500 0.000 0.500

Total DFT energy (no corrections) (eV per atom): -3.676
Formation energy (no corrections) (meV/atom): -206.0
Distance to the lowest polymorph of the same formula (meV per atom): 0.0

Entry 8:
Here is a geometry-optimized Cs2ScRuI6 structure from the Alexandria database. Energies are from GGA-PBE.

Unit cell a=8.140 b=8.140 c=8.140 alpha=119.97 beta=119.97 gamma=90.05
Fractional positions:
Cs: 0.250 0.750 0.500
Cs: 0.750 0.250 0.500
Sc: 0.000 0.000 0.000
Ru: 0.500 0.500 0.000
I: 0.255 0.255 0.511
I: 0.255 0.745 0.000
I: 0.256 0.256 0.000
I: 0.744 0.744 0.000
I: 0.745 0.255 0.000
I: 0.745 0.745 0.489

Total DFT energy (no corrections) (eV per atom): -3.506
Formation energy (no corrections) (meV/atom): -844.6

What did the fifth record say?
Here is a geometry-optimized CsSbRuI2 structure from the Alexandria database. Energies are from GGA-PBE.

Unit cell a=7.068 b=7.068 c=6.553 alpha=90.00 beta=90.00 gamma=90.00
Fractional positions:
Cs: 0.000 0.000 0.000
Sb: 0.000 0.000 0.500
Ru: 0.500 0.500 0.500
I: 0.000 0.500 0.000
I: 0.500 0.000 0.000

Total DFT energy (no corrections) (eV per atom): -2.061
Formation energy (no corrections) (meV/atom): 1409.1
Distance to the lowest polymorph of the same formula (meV per atom): 1615.1

Q: Which formula does entry 6 have?
A: CsSb2RuI